Mg2ZnSi: optimized geometry, GGA-PBE.

The value obtained for the total energy is -2.462 eV/atom. As for the raw formation energy: 0.04 eV per formula unit. The space-group type is No. 12. The calculation puts the density of states at the Fermi level at 1.0 states/eV/cell. Its density is 3.3 Mg/m³.

Lattice parameters (Å, degrees): 6.7979 5.0644 2.8537 89.50 66.00 123.82
With the nearest neighbours (Å) after each atom.
Element x y z (fractional)
Zn 0.5000 0.5000 0.0000  2 Zn 2.85, 8 Mg 2.90-2.92, 2 Si 3.11
Mg 0.5000 0.0000 0.5000  4 Mg 2.85-3.11, 4 Si 2.90-2.92, 4 Zn 2.90-2.92
Mg 0.0000 0.0000 0.0000  4 Mg 2.85-3.11, 4 Zn 2.90-2.92, 4 Si 2.90-2.92
Si 0.0000 0.5000 0.5000  2 Si 2.85, 8 Mg 2.90-2.92, 2 Zn 3.11

---

Dy4Y: optimized geometry, GGA-PBE.

The value obtained for the energy of formation from the pure elements is 0.08 eV/atom. The value obtained for the total energy is -4.895 eV/atom. The space-group type is No. 64. The calculation puts the density of states at the Fermi level at 18.2 states/eV/cell. Its density is 7.7 Mg/m³.

Lattice parameters (Å, degrees): 6.0448 9.7278 5.6937 72.98 90.00 90.00
With the nearest neighbours (Å) after each atom.
Element x y z (fractional)
Y 0.0000 0.0000 0.0000  6 Dy 3.32-3.48
Y 0.5000 0.0000 0.5000  6 Dy 3.32-3.48
Dy 0.9270 0.4036 0.7983  11 Dy 3.44-3.58, 1 Y 3.78
Dy 0.9413 0.7880 0.6058  3 Y 3.32-3.48, 7 Dy 3.44-3.67
Dy 0.5730 0.4036 0.2983  11 Dy 3.44-3.58, 1 Y 3.78
Dy 0.0587 0.2120 0.3942  3 Y 3.32-3.48, 7 Dy 3.44-3.67
Dy 0.4413 0.2120 0.8942  3 Y 3.32-3.48, 7 Dy 3.44-3.67
Dy 0.0730 0.5964 0.2017  11 Dy 3.44-3.58, 1 Y 3.78
Dy 0.5587 0.7880 0.1058  3 Y 3.32-3.48, 7 Dy 3.44-3.67
Dy 0.4270 0.5964 0.7017  11 Dy 3.44-3.58, 1 Y 3.78

---

La3Tl2Br: optimized geometry, GGA-PBE.

The value obtained for the total energy is -4.182 eV/atom. As for the raw formation energy: -3.90 eV per formula unit. The space-group type is No. 167. The calculation puts the density of states at the Fermi level at 11.7 states/eV/cell. Its density is 7.5 Mg/m³.

Lattice parameters (Å, degrees): 7.8850 7.8850 8.7416 63.19 63.19 60.00
With the nearest neighbours (Å) after each atom.
Element x y z (fractional)
La 0.2500 0.8902 0.2500  2 Br 3.14, 4 Tl 3.27-3.29
La 0.8902 0.6098 0.2500  2 Br 3.14, 4 Tl 3.27-3.29
La 0.1098 0.3902 0.7500  2 Br 3.14, 4 Tl 3.27-3.29
La 0.7500 0.1098 0.7500  2 Br 3.14, 4 Tl 3.27-3.29
La 0.3902 0.7500 0.7500  2 Br 3.14, 4 Tl 3.27-3.29
La 0.6098 0.2500 0.2500  2 Br 3.14, 4 Tl 3.27-3.29
Tl 0.8225 0.8225 0.5324  1 Tl 3.25, 6 La 3.27-3.29
Tl 0.3225 0.3225 0.0324  1 Tl 3.25, 6 La 3.27-3.29
Tl 0.1775 0.1775 0.4676  1 Tl 3.25, 6 La 3.27-3.29
Tl 0.6775 0.6775 0.9676  1 Tl 3.25, 6 La 3.27-3.29
Br 0.5000 0.5000 0.5000  6 La 3.14
Br 0.0000 0.0000 0.0000  6 La 3.14

---

TaTe2Mo: optimized geometry, GGA-PBE.

The value obtained for the total energy is -6.842 eV/atom. As for the raw formation energy: 1.60 eV per formula unit. The space-group type is No. 44. The calculation puts the density of states at the Fermi level at 4.2 states/eV/cell. Its density is 10.8 Mg/m³.

Lattice parameters (Å, degrees): 5.9696 5.9696 5.9696 147.55 133.84 57.55
With the nearest neighbours (Å) after each atom.
Element x y z (fractional)
Mo 0.5172 0.5172 0.0000  6 Te 2.76-2.87
Ta 0.2453 0.7453 0.5000  6 Te 2.88-2.97
Te 0.0102 0.0102 0.0000  4 Mo 2.87, 2 Ta 2.97
Te 0.7273 0.2273 0.5000  2 Mo 2.76, 4 Ta 2.88

---

What did the second record say?
Dy4Y: optimized geometry, GGA-PBE.

The value obtained for the energy of formation from the pure elements is 0.08 eV/atom. The value obtained for the total energy is -4.895 eV/atom. The space-group type is No. 64. The calculation puts the density of states at the Fermi level at 18.2 states/eV/cell. Its density is 7.7 Mg/m³.

Lattice parameters (Å, degrees): 6.0448 9.7278 5.6937 72.98 90.00 90.00
With the nearest neighbours (Å) after each atom.
Element x y z (fractional)
Y 0.0000 0.0000 0.0000  6 Dy 3.32-3.48
Y 0.5000 0.0000 0.5000  6 Dy 3.32-3.48
Dy 0.9270 0.4036 0.7983  11 Dy 3.44-3.58, 1 Y 3.78
Dy 0.9413 0.7880 0.6058  3 Y 3.32-3.48, 7 Dy 3.44-3.67
Dy 0.5730 0.4036 0.2983  11 Dy 3.44-3.58, 1 Y 3.78
Dy 0.0587 0.2120 0.3942  3 Y 3.32-3.48, 7 Dy 3.44-3.67
Dy 0.4413 0.2120 0.8942  3 Y 3.32-3.48, 7 Dy 3.44-3.67
Dy 0.0730 0.5964 0.2017  11 Dy 3.44-3.58, 1 Y 3.78
Dy 0.5587 0.7880 0.1058  3 Y 3.32-3.48, 7 Dy 3.44-3.67
Dy 0.4270 0.5964 0.7017  11 Dy 3.44-3.58, 1 Y 3.78

---

Which formula does entry 3 have?
La3Tl2Br